Record 1
The following is a PBE calculation of an optimized crystal structure of ZrPaGe2, from Alexandria.

Geometry as POSCAR:
```
ZrPaGe2
1.0
3.8863 -2.2397 0.0000
3.8863 2.2397 0.0000
-2.5861 0.0000 4.9974
Zr Pa Ge
1 1 2
direct
0.0000 0.0000 0.0000
0.5000 0.5000 0.5000
0.2588 0.2588 0.7765
0.7412 0.7412 0.2235
```

Computed properties:
D(E_F) = 3.97 states/eV per cell
energy relative to the lowest polymorph listed for this composition = 0.060 eV per atom
space group = C2/m, No. 12
calculated formation energy = -193.6 kJ/mol of formula units

***

Record 2
The following is a PBE calculation of an optimized crystal structure of ZrPaGe, from Alexandria.

Geometry as POSCAR:
```
ZrPaGe
1.0
4.8827 0.0000 0.0000
-2.4414 4.2286 0.0000
0.0000 0.0000 3.2595
Zr Pa Ge
1 1 1
direct
0.0000 0.0000 0.0000
0.3333 0.6667 0.4998
0.6667 0.3333 0.9984
```

Computed properties:
D(E_F) = 5.47 states/eV per cell
energy relative to the lowest polymorph listed for this composition = 0.411 eV per atom
space group = P3m1, No. 156
calculated formation energy = -29.1 kJ/mol of formula units

***

Record 3
The following is a PBE calculation of an optimized crystal structure of ZrPa2Ge2, from Alexandria.

Geometry as POSCAR:
```
ZrPa2Ge2
1.0
7.2799 0.0000 0.0000
0.0000 7.2799 0.0000
0.0000 0.0000 4.2328
Zr Pa Ge
2 4 4
direct
0.0000 0.0000 0.0000
0.5000 0.5000 0.0000
0.1777 0.3223 0.5000
0.3223 0.8223 0.5000
0.6777 0.1777 0.5000
0.8223 0.6777 0.5000
0.1267 0.6267 0.0000
0.3733 0.1267 0.0000
0.6267 0.8733 0.0000
0.8733 0.3733 0.0000
```

Computed properties:
D(E_F) = 17.57 states/eV per cell
space group = P4/mbm, No. 127
calculated formation energy = -240.8 kJ/mol of formula units

***

Record 4
The following is a PBE calculation of an optimized crystal structure of Zr3Pa2Ge4, from Alexandria.

Geometry as POSCAR:
```
Zr3Pa2Ge4
1.0
7.4468 0.0000 0.0000
0.0000 7.4020 0.0000
-2.4854 0.0000 6.8317
Zr Pa Ge
6 4 8
direct
0.0000 0.0000 0.0000
0.0000 0.5000 0.5000
0.2527 0.1710 0.7567
0.2527 0.3290 0.2567
0.7473 0.6710 0.7433
0.7473 0.8290 0.2433
0.3102 0.6734 0.9372
0.3102 0.8266 0.4372
0.6898 0.1734 0.5628
0.6898 0.3266 0.0628
0.0060 0.6309 0.1321
0.0060 0.8691 0.6321
0.4165 0.0386 0.1512
0.4165 0.4614 0.6512
0.5835 0.5386 0.3488
0.5835 0.9614 0.8488
0.9940 0.1309 0.3679
0.9940 0.3691 0.8679
```

Computed properties:
D(E_F) = 15.69 states/eV per cell
space group = P2_1/c, No. 14
calculated formation energy = -645.3 kJ/mol of formula units

***

Record 5
The following is a PBE calculation of an optimized crystal structure of ZrPaGe2, from Alexandria.

Geometry as POSCAR:
```
ZrPaGe2
1.0
3.6669 0.0000 0.0000
0.0000 3.6669 0.0000
0.0000 0.0000 6.0919
Zr Pa Ge
1 1 2
direct
0.0000 0.0000 0.0000
0.0000 0.0000 0.5000
0.5000 0.5000 0.2223
0.5000 0.5000 0.7777
```

Computed properties:
D(E_F) = 5.02 states/eV per cell
energy relative to the lowest polymorph listed for this composition = 0.078 eV per atom
space group = P4/mmm, No. 123
calculated formation energy = -186.8 kJ/mol of formula units

***

Record 6
The following is a PBE calculation of an optimized crystal structure of Ge6Pb, from Alexandria.

Geometry as POSCAR:
```
Ge6Pb
1.0
-3.5404 3.5404 3.5404
3.5404 -3.5404 3.5404
3.5404 3.5404 -3.5404
Ge Pb
6 1
direct
0.2500 0.5000 0.7500
0.2500 0.7500 0.5000
0.5000 0.2500 0.7500
0.5000 0.7500 0.2500
0.7500 0.2500 0.5000
0.7500 0.5000 0.2500
0.0000 0.0000 0.0000
```

Computed properties:
D(E_F) = 3.64 states/eV per cell
space group = Im-3m, No. 229
calculated formation energy = 190.5 kJ/mol of formula units

***

Record 7
The following is a PBE calculation of an optimized crystal structure of GePb3, from Alexandria.

Geometry as POSCAR:
```
GePb3
1.0
-1.7094 5.6511 2.9972
1.7094 -5.6511 2.9972
1.7094 5.6511 -2.9972
Ge Pb
1 3
direct
0.0000 0.0000 0.0000
0.3556 0.6329 0.7227
0.5547 0.0547 0.5000
0.9102 0.6329 0.2773
```

Computed properties:
D(E_F) = 2.28 states/eV per cell
energy relative to the lowest polymorph listed for this composition = 0.000 eV per atom
space group = Imm2, No. 44
calculated formation energy = 53.9 kJ/mol of formula units

***

Record 8
The following is a PBE calculation of an optimized crystal structure of GePb3, from Alexandria.

Geometry as POSCAR:
```
GePb3
1.0
-2.3928 2.3928 5.0286
2.3928 -2.3928 5.0286
2.3928 2.3928 -5.0286
Ge Pb
1 3
direct
0.0000 0.0000 0.0000
0.2500 0.7500 0.5000
0.5000 0.5000 0.0000
0.7500 0.2500 0.5000
```

Computed properties:
D(E_F) = 2.18 states/eV per cell
energy relative to the lowest polymorph listed for this composition = 0.010 eV per atom
space group = I4/mmm, No. 139
calculated formation energy = 57.8 kJ/mol of formula units

***

Record 9
The following is a PBE calculation of an optimized crystal structure of GePb3, from Alexandria.

Geometry as POSCAR:
```
GePb3
1.0
3.4613 0.0000 0.0000
0.0000 3.9636 0.0000
0.0000 0.0000 8.8185
Ge Pb
1 3
direct
0.0000 0.0000 0.0000
0.0000 0.5000 0.2589
0.5000 0.0000 0.5097
0.5000 0.5000 0.8232
```

Computed properties:
D(E_F) = 1.79 states/eV per cell
energy relative to the lowest polymorph listed for this composition = 0.038 eV per atom
space group = Pmm2, No. 25
calculated formation energy = 68.4 kJ/mol of formula units

***

Record 10
The following is a PBE calculation of an optimized crystal structure of GePb3, from Alexandria.

Geometry as POSCAR:
```
GePb3
1.0
4.8800 0.0000 0.0000
0.0000 4.8800 0.0000
0.0000 0.0000 4.8800
Ge Pb
1 3
direct
0.0000 0.0000 0.0000
0.0000 0.5000 0.5000
0.5000 0.0000 0.5000
0.5000 0.5000 0.0000
```

Computed properties:
D(E_F) = 4.68 states/eV per cell
energy relative to the lowest polymorph listed for this composition = 0.039 eV per atom
space group = Pm-3m, No. 221
calculated formation energy = 69.0 kJ/mol of formula units

***

Record 11
The following is a PBE calculation of an optimized crystal structure of GePb3, from Alexandria.

Geometry as POSCAR:
```
GePb3
1.0
0.0000 3.8530 3.8530
3.8530 0.0000 3.8530
3.8530 3.8530 0.0000
Ge Pb
1 3
direct
0.0000 0.0000 0.0000
0.2500 0.2500 0.2500
0.5000 0.5000 0.5000
0.7500 0.7500 0.7500
```

Computed properties:
D(E_F) = 3.01 states/eV per cell
energy relative to the lowest polymorph listed for this composition = 0.033 eV per atom
space group = Fm-3m, No. 225
calculated formation energy = 66.7 kJ/mol of formula units

***

Record 12
The following is a PBE calculation of an optimized crystal structure of Ge6Pd12Pb, from Alexandria.

Geometry as POSCAR:
```
Ge6Pd12Pb
1.0
5.8645 3.3859 2.7588
-5.8645 3.3859 2.7588
0.0000 -6.7718 2.7588
Ge Pd Pb
6 12 1
direct
0.2592 0.2592 0.6933
0.2592 0.6933 0.2592
0.3067 0.7408 0.7408
0.6933 0.2592 0.2592
0.7408 0.3067 0.7408
0.7408 0.7408 0.3067
0.1256 0.5000 0.8744
0.1256 0.8744 0.5000
0.1657 0.4180 0.4180
0.4180 0.1657 0.4180
0.4180 0.4180 0.1657
0.5000 0.1256 0.8744
0.5000 0.8744 0.1256
0.5820 0.5820 0.8343
0.5820 0.8343 0.5820
0.8343 0.5820 0.5820
0.8744 0.1256 0.5000
0.8744 0.5000 0.1256
0.0000 0.0000 0.0000
```

Computed properties:
D(E_F) = 5.55 states/eV per cell
space group = R-3m, No. 166
calculated formation energy = -742.1 kJ/mol of formula units

***

Record 13
The following is a PBE calculation of an optimized crystal structure of GePdPb2, from Alexandria.

Geometry as POSCAR:
```
GePdPb2
1.0
1.6411 0.9475 10.7289
-1.6411 0.9475 10.7289
0.0000 -1.8949 10.7289
Ge Pd Pb
1 1 2
direct
0.0000 0.0000 0.0000
0.5000 0.5000 0.5000
0.4157 0.4157 0.4157
0.5843 0.5843 0.5843
```

Computed properties:
D(E_F) = 1.64 states/eV per cell
space group = R-3m, No. 166
calculated formation energy = 107.2 kJ/mol of formula units

***

Record 14
The following is a PBE calculation of an optimized crystal structure of Ge2Pd2Pb, from Alexandria.

Geometry as POSCAR:
```
Ge2Pd2Pb
1.0
7.8276 0.0000 0.0000
0.0000 7.8276 0.0000
0.0000 0.0000 3.0891
Ge Pd Pb
4 4 2
direct
0.1494 0.3506 0.0000
0.3506 0.8506 0.0000
0.6494 0.1494 0.0000
0.8506 0.6494 0.0000
0.1350 0.6350 0.5000
0.3650 0.1350 0.5000
0.6350 0.8650 0.5000
0.8650 0.3650 0.5000
0.0000 0.0000 0.5000
0.5000 0.5000 0.5000
```

Computed properties:
D(E_F) = 6.51 states/eV per cell
space group = P4/mbm, No. 127
calculated formation energy = -77.8 kJ/mol of formula units

***

Record 15
The following is a PBE calculation of an optimized crystal structure of GePdPb2, from Alexandria.

Geometry as POSCAR:
```
GePdPb2
1.0
-3.2404 3.2404 6.0779
3.2404 -3.2404 6.0779
3.2404 3.2404 -6.0779
Ge Pd Pb
2 2 4
direct
0.0000 0.0000 0.0000
0.7500 0.2500 0.5000
0.2500 0.7500 0.5000
0.5000 0.5000 0.0000
0.1380 0.6250 0.0130
0.3750 0.3880 0.5130
0.6120 0.1250 0.9870
0.8750 0.8620 0.4870
```

Computed properties:
D(E_F) = 4.09 states/eV per cell
space group = I-42d, No. 122
calculated formation energy = 103.2 kJ/mol of formula units

***

Record 16
The following is a PBE calculation of an optimized crystal structure of GePd2Pb, from Alexandria.

Geometry as POSCAR:
```
GePd2Pb
1.0
3.2470 0.0000 0.0000
0.0000 3.2470 0.0000
0.0000 0.0000 7.0909
Ge Pd Pb
1 2 1
direct
0.0000 0.0000 0.0000
0.5000 0.5000 0.1990
0.5000 0.5000 0.8010
0.0000 0.0000 0.5000
```

Computed properties:
D(E_F) = 2.00 states/eV per cell
energy relative to the lowest polymorph listed for this composition = 0.129 eV per atom
space group = P4/mmm, No. 123
calculated formation energy = -90.9 kJ/mol of formula units

***

Record 17
The following is a PBE calculation of an optimized crystal structure of GePd2Pb, from Alexandria.

Geometry as POSCAR:
```
GePd2Pb
1.0
4.9086 0.0000 0.0000
0.0018 5.5518 0.0000
0.7177 2.7731 5.9894
Ge Pd Pb
2 4 2
direct
0.0000 0.0000 0.0000
0.5004 0.4077 0.9992
0.3091 0.3408 0.6936
0.3470 0.6840 0.2084
0.6523 0.8932 0.7914
0.6896 0.0349 0.3059
0.1708 0.8791 0.5665
0.8282 0.4458 0.4332
```

Computed properties:
D(E_F) = 2.92 states/eV per cell
energy relative to the lowest polymorph listed for this composition = 0.163 eV per atom
space group = P1, No. 1
calculated formation energy = -78.0 kJ/mol of formula units

***

Record 18
The following is a PBE calculation of an optimized crystal structure of Ge2Pd2Pb, from Alexandria.

Geometry as POSCAR:
```
Ge2Pd2Pb
1.0
7.9515 0.0000 0.0000
0.0000 7.9515 0.0000
0.0000 0.0000 3.0266
Ge Pd Pb
4 4 2
direct
0.1316 0.3684 0.0000
0.3684 0.8684 0.0000
0.6316 0.1316 0.0000
0.8684 0.6316 0.0000
0.1499 0.6499 0.5000
0.3501 0.1499 0.5000
0.6499 0.8501 0.5000
0.8501 0.3501 0.5000
0.0000 0.0000 0.0000
0.5000 0.5000 0.0000
```

Computed properties:
D(E_F) = 5.51 states/eV per cell
space group = P4/mbm, No. 127
calculated formation energy = -58.5 kJ/mol of formula units

***

Record 19
The following is a PBE calculation of an optimized crystal structure of GePd2Pb, from Alexandria.

Geometry as POSCAR:
```
GePd2Pb
1.0
2.0671 1.1935 5.5512
-2.0671 1.1935 5.5512
0.0000 -2.3869 5.5512
Ge Pd Pb
1 2 1
direct
0.0000 0.0000 0.0000
0.3939 0.3939 0.3939
0.6213 0.6213 0.6213
0.1806 0.1806 0.1806
```

Computed properties:
D(E_F) = 1.73 states/eV per cell
energy relative to the lowest polymorph listed for this composition = 0.128 eV per atom
space group = R3m, No. 160
calculated formation energy = -91.6 kJ/mol of formula units

***

Record 20
The following is a PBE calculation of an optimized crystal structure of GePdPb, from Alexandria.

Geometry as POSCAR:
```
GePdPb
1.0
0.0000 3.2360 3.2360
3.2360 0.0000 3.2360
3.2360 3.2360 0.0000
Ge Pd Pb
1 1 1
direct
0.0000 0.0000 0.0000
0.2500 0.2500 0.2500
0.5000 0.5000 0.5000
```

Computed properties:
D(E_F) = 1.84 states/eV per cell
space group = F-43m, No. 216
calculated formation energy = -31.8 kJ/mol of formula units